Record 1
# Dy2ZrMnS6 (PBE, optimized geometry)
# - total DFT energy (no corrections) (eV/atom) = -6.731
# - magnetization (μB per cell) = 5.0
data_Dy2ZrMnS6
_space_group_name_H-M_alt 'P 1'
_space_group_IT_number 1
_cell_length_a 7.101
_cell_length_b 7.101
_cell_length_c 7.101
_cell_angle_alpha 56.08
_cell_angle_beta 56.08
_cell_angle_gamma 56.08
loop_
_space_group_symop_operation_xyz
'x,y,z'
loop_
_atom_site_label
_atom_site_type_symbol
_atom_site_fract_x
_atom_site_fract_y
_atom_site_fract_z
Dy1 Dy 0.000 0.000 0.000
Dy2 Dy 0.498 0.498 0.498
Zr1 Zr 0.697 0.697 0.697
Mn1 Mn 0.202 0.202 0.202
S1 S 0.070 0.818 0.425
S2 S 0.312 0.577 0.919
S3 S 0.425 0.070 0.818
S4 S 0.577 0.919 0.312
S5 S 0.818 0.425 0.070
S6 S 0.919 0.312 0.577


Record 2
# CsGe2Te2 (PBE, optimized geometry)
# - total DFT energy (no corrections) (eV/atom) = -3.476
# - excess energy over the best structure of this formula in the dataset (eV per atom) = 0.070
# - magnetization (μB per cell) = 0.0
data_CsGe2Te2
_space_group_name_H-M_alt 'P 1'
_space_group_IT_number 1
_cell_length_a 7.737
_cell_length_b 7.737
_cell_length_c 7.737
_cell_angle_alpha 139.74
_cell_angle_beta 139.74
_cell_angle_gamma 58.25
loop_
_space_group_symop_operation_xyz
'x,y,z'
loop_
_atom_site_label
_atom_site_type_symbol
_atom_site_fract_x
_atom_site_fract_y
_atom_site_fract_z
Cs1 Cs 0.000 0.000 0.000
Ge1 Ge 0.250 0.750 0.500
Ge2 Ge 0.750 0.250 0.500
Te1 Te 0.342 0.342 0.000
Te2 Te 0.658 0.658 0.000


Record 3
# Sr2AlB (PBE, optimized geometry)
# - total DFT energy (no corrections) (eV/atom) = -3.267
# - excess energy over the best structure of this formula in the dataset (eV per atom) = 0.000
# - magnetization (μB per cell) = 0.0
data_Sr2AlB
_space_group_name_H-M_alt 'P 1'
_space_group_IT_number 1
_cell_length_a 8.231
_cell_length_b 8.231
_cell_length_c 8.231
_cell_angle_alpha 93.50
_cell_angle_beta 93.50
_cell_angle_gamma 151.41
loop_
_space_group_symop_operation_xyz
'x,y,z'
loop_
_atom_site_label
_atom_site_type_symbol
_atom_site_fract_x
_atom_site_fract_y
_atom_site_fract_z
Sr1 Sr 0.375 0.190 0.315
Sr2 Sr 0.810 0.125 0.185
Sr3 Sr 0.875 0.060 0.685
Sr4 Sr 0.940 0.625 0.815
Al1 Al 0.250 0.750 0.500
Al2 Al 0.500 0.500 0.000
B1 B 0.000 0.000 0.000
B2 B 0.750 0.250 0.500


Record 4
# Tm4InCu2Ru (PBE, optimized geometry)
# - total DFT energy (no corrections) (eV/atom) = -5.151
# - magnetization (μB per cell) = 0.0
data_Tm4InCu2Ru
_space_group_name_H-M_alt 'P 1'
_space_group_IT_number 1
_cell_length_a 8.544
_cell_length_b 8.544
_cell_length_c 8.544
_cell_angle_alpha 33.57
_cell_angle_beta 33.57
_cell_angle_gamma 33.57
loop_
_space_group_symop_operation_xyz
'x,y,z'
loop_
_atom_site_label
_atom_site_type_symbol
_atom_site_fract_x
_atom_site_fract_y
_atom_site_fract_z
Tm1 Tm 0.115 0.115 0.115
Tm2 Tm 0.368 0.368 0.368
Tm3 Tm 0.632 0.632 0.632
Tm4 Tm 0.885 0.885 0.885
In1 In 0.500 0.500 0.500
Cu1 Cu 0.244 0.244 0.244
Cu2 Cu 0.756 0.756 0.756
Ru1 Ru 0.000 0.000 0.000


- Which value of magnetization does entry 1 give?
  5.0 μB per cell


- Which formula does entry 2 have?
  CsGe2Te2